# 1
UAsPd3 | PBE-GGA | optimized geometry

Cell lengths 5.173, 5.173, 16.534 Å; angles 90.00, 90.00, 90.00 degrees
Space group I-4m2 (No. 119)
Symmetry-distinct sites (fractional):
U  0.000  0.000  0.162 x4
As  0.000  0.000  0.500 x2
As  0.000  0.500  0.750 x2
Pd  0.000  0.246  0.624 x8
Pd  0.000  0.500  0.067 x4

Computed properties:
**Calculated volume**: 442.5 Å³/cell
**Energy relative to the elements**: -48 kJ/mol of formula units
**DOS(E_F)**: 1.39 states/eV/atom

=====

# 2
PRhCl2 | PBE-GGA | optimized geometry

Cell lengths 2.998, 4.166, 5.398 Å; angles 90.00, 90.00, 90.00 degrees
Space group Pmmm (No. 47)
Symmetry-distinct sites (fractional):
P  0.000  0.000  0.000 x1
Rh  0.500  0.000  0.500 x1
Cl  0.000  0.500  0.500 x1
Cl  0.500  0.500  0.000 x1

Computed properties:
**Calculated volume**: 67.4 Å³/cell
**Raw formation energy**: 0.514 eV per atom
**DOS(E_F)**: 0.72 states/eV/atom

=====

# 3
LiLa5Se8 | PBE-GGA | optimized geometry

Cell lengths 9.024, 9.024, 9.130 Å; angles 90.00, 90.00, 90.00 degrees
Space group I-4 (No. 82)
Symmetry-distinct sites (fractional):
Li  0.000  0.000  0.000 x2
La  0.000  0.500  0.750 x2
La  0.129  0.748  0.371 x8
Se  0.071  0.681  0.046 x8
Se  0.076  0.821  0.690 x8

Computed properties:
**Calculated volume**: 743.4 Å³/cell
**Raw formation energy**: -1.959 eV per atom
**DOS(E_F)**: 0.00 states/eV/atom

=====

# 4
Ba3NbF | PBE-GGA | optimized geometry

Cell lengths 5.585, 5.585, 5.585 Å; angles 90.00, 90.00, 90.00 degrees
Space group Pm-3m (No. 221)
Symmetry-distinct sites (fractional):
Ba  0.000  0.000  0.500 x3
Nb  0.500  0.500  0.500 x1
F  0.000  0.000  0.000 x1

Computed properties:
**Calculated volume**: 174.2 Å³/cell
**Raw formation energy**: -0.468 eV per atom
**DOS(E_F)**: 1.06 states/eV/atom

=====

# 5
La2TiAlNi | PBE-GGA | optimized geometry

Cell lengths 5.566, 5.566, 4.328 Å; angles 90.00, 90.00, 90.00 degrees
Space group P4/mmm (No. 123)
Symmetry-distinct sites (fractional):
La  0.000  0.500  0.000 x2
Ti  0.000  0.000  0.000 x1
Al  0.500  0.500  0.500 x1
Ni  0.000  0.000  0.500 x1

Computed properties:
**Calculated volume**: 134.1 Å³/cell
**Energy relative to the elements**: 208 kJ/mol of formula units
**DOS(E_F)**: 1.16 states/eV/atom

=====

# 6
Ce7Ge2Pt2 | PBE-GGA | optimized geometry

Cell lengths 3.969, 15.258, 9.597 Å; angles 90.00, 90.00, 90.00 degrees
Space group Imm2 (No. 44)
Symmetry-distinct sites (fractional):
Ce  0.000  0.000  0.000 x2
Ce  0.000  0.110  0.585 x4
Ce  0.000  0.317  0.371 x4
Ce  0.000  0.360  0.748 x4
Ge  0.000  0.000  0.318 x2
Ge  0.000  0.500  0.257 x2
Pt  0.000  0.240  0.067 x4

Computed properties:
**Calculated volume**: 581.1 Å³/cell
**Energy relative to the elements**: -671 kJ/mol of formula units
**DOS(E_F)**: 2.81 states/eV/atom

=====

# 7
ZnGa2P | PBE-GGA | optimized geometry

Cell lengths 3.6064, 3.6064, 23.1451 Å; angles 90.00, 90.00, 120.00 degrees
Space group R-3m (No. 166, hexagonal axes)
Symmetry-distinct sites (fractional):
Zn  0.0000  0.0000  0.0000 x3
Ga  0.0000  0.0000  0.1064 x6
P  0.0000  0.0000  0.5000 x3

Computed properties:
**Calculated volume**: 260.7 Å³/cell
**Energy relative to the elements**: 34 kJ/mol of formula units
**DOS(E_F)**: 0.42 states/eV/atom

=====

# 8
Dy6Ag2Ru | PBE-GGA | optimized geometry

Cell lengths 6.426, 7.666, 11.536 Å; angles 90.00, 119.35, 90.00 degrees
Space group P2_1/c (No. 14)
Symmetry-distinct sites (fractional):
Dy  0.120  0.023  0.250 x4
Dy  0.202  0.681  0.060 x4
Dy  0.380  0.179  0.046 x4
Ag  0.330  0.113  0.752 x4
Ru  0.500  0.000  0.500 x2

Computed properties:
**Calculated volume**: 495.3 Å³/cell
**Energy relative to the elements**: -172 kJ/mol of formula units
**DOS(E_F)**: 0.91 states/eV/atom

=====

# 9
Pr6DyCd2 | PBE-GGA | optimized geometry

Cell lengths 15.844, 11.815, 6.279 Å; angles 90.00, 96.02, 90.00 degrees
Space group C2/c (No. 15)
Symmetry-distinct sites (fractional):
Pr  0.057  0.127  0.009 x8
Pr  0.117  0.350  0.313 x8
Pr  0.224  0.372  0.836 x8
Dy  0.000  0.397  0.750 x4
Cd  0.164  0.123  0.591 x8

Computed properties:
**Calculated volume**: 1168.9 Å³/cell
**Energy relative to the elements**: -61 kJ/mol of formula units
**DOS(E_F)**: 1.23 states/eV/atom

=====

# 10
MnFeSi2 | PBE-GGA | optimized geometry

Cell lengths 2.773, 3.775, 8.462 Å; angles 90.00, 90.00, 90.00 degrees
Space group Imm2 (No. 44)
Symmetry-distinct sites (fractional):
Mn  0.000  0.000  0.000 x2
Fe  0.000  0.500  0.242 x2
Si  0.000  0.000  0.512 x2
Si  0.000  0.500  0.744 x2

Computed properties:
**Calculated volume**: 88.6 Å³/cell
**Raw formation energy**: -0.255 eV per atom
**DOS(E_F)**: 0.80 states/eV/atom

=====

# 11
ZnTcNi2 | PBE-GGA | optimized geometry

Cell lengths 3.599, 3.599, 16.771 Å; angles 90.00, 90.00, 90.00 degrees
Space group I-42d (No. 122)
Symmetry-distinct sites (fractional):
Zn  0.000  0.000  0.000 x4
Tc  0.000  0.000  0.500 x4
Ni  0.249  0.250  0.125 x8

Computed properties:
**Calculated volume**: 217.2 Å³/cell
**Energy relative to the elements**: 171 kJ/mol of formula units
**DOS(E_F)**: 1.29 states/eV/atom

=====

# 12
CaPuAu3 | PBE-GGA | optimized geometry

Cell lengths 3.568, 28.227, 4.728 Å; angles 90.00, 90.00, 90.00 degrees
Space group Cmcm (No. 63)
Symmetry-distinct sites (fractional):
Ca  0.000  0.208  0.250 x4
Pu  0.000  0.074  0.750 x4
Au  0.000  0.320  0.250 x4
Au  0.000  0.379  0.750 x4
Au  0.000  0.476  0.750 x4

Computed properties:
**Calculated volume**: 476.2 Å³/cell
**Energy relative to the elements**: -271 kJ/mol of formula units
**DOS(E_F)**: 2.88 states/eV/atom

=====

Question: Which of these has the highest calculated volume?
Answer: Pr6DyCd2

=====

Question: Look up the DOS(E_F) of the fifth one.
Answer: 1.16 states/eV/atom

=====

Question: DOS(E_F) of number 7 (ZnGa2P)?
Answer: 0.42 states/eV/atom

=====

Question: Number 7 is which compound?
Answer: ZnGa2P